Here is a geometry-optimized SbH2 structure from Alexandria via LeMat-Bulk. Energies are from PBE.

a b c (Å): 4.6632 4.7731 6.1640
angles (deg): 106.80 90.50 118.38
Sites, in units of the cell vectors:
Sb1 0.1172 0.1978 0.2403
Sb2 0.8828 0.8022 0.7597
H1 0.2398 0.7669 0.7455
H2 0.3114 0.5652 0.1692
H3 0.6886 0.4348 0.8308
H4 0.7602 0.2331 0.2545

Summary:
- Raw total energy: -3.367 eV/atom
- ΔE to the lowest computed polymorph: 208.3 meV per atom
- Total magnetic moment: 0.00 μB per formula unit
- Symmetry: P-1

=====

Here is a geometry-optimized AcSm3Hg4 structure from Alexandria via LeMat-Bulk. Energies are from PBE.

a b c (Å): 5.4348 5.4348 7.7903
angles (deg): 90.00 90.00 90.00
Sites, in units of the cell vectors:
Ac1 0.0000 0.0000 0.0000
Sm1 0.0000 0.0000 0.5000
Sm2 0.5000 0.5000 0.0000
Sm3 0.5000 0.5000 0.5000
Hg1 0.0000 0.5000 0.2650
Hg2 0.0000 0.5000 0.7350
Hg3 0.5000 0.0000 0.2650
Hg4 0.5000 0.0000 0.7350

Summary:
- Raw total energy: -2.889 eV/atom
- Total magnetic moment: 1.57 μB per formula unit
- Formation enthalpy at 0 K: -455 meV per atom
- Symmetry: P4/mmm

=====

Here is a geometry-optimized ThAlAu2 structure from Alexandria via LeMat-Bulk. Energies are from PBE.

a b c (Å): 3.3529 3.3529 7.3713
angles (deg): 90.00 90.00 90.00
Sites, in units of the cell vectors:
Th1 0.0000 0.0000 0.0000
Al1 0.0000 0.0000 0.5000
Au1 0.5000 0.5000 0.2953
Au2 0.5000 0.5000 0.7047

Summary:
- Raw total energy: -4.909 eV/atom
- Total magnetic moment: 0.00 μB per formula unit
- Formation enthalpy at 0 K: -480 meV per atom
- Symmetry: P4/mmm

=====

Here is a geometry-optimized TbHoZnCd structure from Alexandria via LeMat-Bulk. Energies are from PBE.

a b c (Å): 5.1825 5.1825 5.1825
angles (deg): 60.00 60.00 60.00
Sites, in units of the cell vectors:
Tb1 0.0000 0.0000 0.0000
Ho1 0.5000 0.5000 0.5000
Zn1 0.2500 0.2500 0.2500
Cd1 0.7500 0.7500 0.7500

Summary:
- Raw total energy: -3.162 eV/atom
- ΔE to the lowest computed polymorph: 19.0 meV per atom
- Total magnetic moment: 0.00 μB per formula unit
- Formation enthalpy at 0 K: -313 meV per atom
- Symmetry: F-43m

=====

Here is a geometry-optimized Sm12H5Ir3 structure from Alexandria via LeMat-Bulk. Energies are from PBE.

a b c (Å): 13.3492 13.3492 13.3492
angles (deg): 109.47 109.47 109.47
Sites, in units of the cell vectors:
Sm1 0.0288 0.2171 0.1216
Sm2 0.0288 0.3116 0.9071
Sm3 0.0929 0.6216 0.4045
Sm4 0.0929 0.9712 0.6884
Sm5 0.0955 0.7171 0.6884
Sm6 0.0955 0.8784 0.4071
Sm7 0.1216 0.0288 0.2171
Sm8 0.1216 0.5929 0.9045
Sm9 0.1884 0.2171 0.5955
Sm10 0.1884 0.4712 0.5929
Sm11 0.2171 0.1216 0.0288
Sm12 0.2171 0.5955 0.1884
Sm13 0.2829 0.3116 0.9045
Sm14 0.2829 0.4712 0.3784
Sm15 0.3116 0.9045 0.2829
Sm16 0.3116 0.9071 0.0288
Sm17 0.3784 0.2829 0.4712
Sm18 0.3784 0.5955 0.9071
Sm19 0.4045 0.0929 0.6216
Sm20 0.4045 0.8116 0.7829
Sm21 0.4071 0.0955 0.8784
Sm22 0.4071 0.8116 0.5288
Sm23 0.4712 0.3784 0.2829
Sm24 0.4712 0.5929 0.1884
Sm25 0.5288 0.4071 0.8116
Sm26 0.5288 0.6216 0.7171
Sm27 0.5929 0.1884 0.4712
Sm28 0.5929 0.9045 0.1216
Sm29 0.5955 0.1884 0.2171
Sm30 0.5955 0.9071 0.3784
Sm31 0.6216 0.4045 0.0929
Sm32 0.6216 0.7171 0.5288
Sm33 0.6884 0.0929 0.9712
Sm34 0.6884 0.0955 0.7171
Sm35 0.7171 0.5288 0.6216
Sm36 0.7171 0.6884 0.0955
Sm37 0.7829 0.4045 0.8116
Sm38 0.7829 0.8784 0.9712
Sm39 0.8116 0.5288 0.4071
Sm40 0.8116 0.7829 0.4045
Sm41 0.8784 0.4071 0.0955
Sm42 0.8784 0.9712 0.7829
Sm43 0.9045 0.1216 0.5929
Sm44 0.9045 0.2829 0.3116
Sm45 0.9071 0.0288 0.3116
Sm46 0.9071 0.3784 0.5955
Sm47 0.9712 0.6884 0.0929
Sm48 0.9712 0.7829 0.8784
H1 0.0000 0.0000 0.0000
H2 0.0000 0.0000 0.5000
H3 0.0000 0.5000 0.0000
H4 0.0000 0.5000 0.5000
H5 0.1250 0.7500 0.8750
H6 0.1250 0.8750 0.2500
H7 0.2500 0.1250 0.8750
H8 0.2500 0.6250 0.3750
H9 0.3750 0.2500 0.6250
H10 0.3750 0.6250 0.7500
H11 0.5000 0.0000 0.0000
H12 0.5000 0.0000 0.5000
H13 0.5000 0.5000 0.0000
H14 0.5000 0.5000 0.5000
H15 0.6250 0.3750 0.2500
H16 0.6250 0.7500 0.3750
H17 0.7500 0.3750 0.6250
H18 0.7500 0.8750 0.1250
H19 0.8750 0.1250 0.7500
H20 0.8750 0.2500 0.1250
Ir1 0.1250 0.2500 0.3750
Ir2 0.1250 0.3750 0.7500
Ir3 0.2500 0.3750 0.1250
Ir4 0.2500 0.8750 0.6250
Ir5 0.3750 0.1250 0.2500
Ir6 0.3750 0.7500 0.1250
Ir7 0.6250 0.2500 0.8750
Ir8 0.6250 0.8750 0.7500
Ir9 0.7500 0.1250 0.3750
Ir10 0.7500 0.6250 0.8750
Ir11 0.8750 0.6250 0.2500
Ir12 0.8750 0.7500 0.6250

Summary:
- Raw total energy: -5.412 eV/atom
- Total magnetic moment: 0.00 μB per formula unit
- Symmetry: Ia-3d

=====

Here is a geometry-optimized DyPuGe structure from Alexandria via LeMat-Bulk. Energies are from PBE.

a b c (Å): 4.1707 4.1707 8.3440
angles (deg): 90.00 90.00 90.00
Sites, in units of the cell vectors:
Dy1 0.2500 0.2500 0.1428
Dy2 0.7500 0.7500 0.8572
Pu1 0.2500 0.7500 0.5000
Pu2 0.7500 0.2500 0.5000
Ge1 0.2500 0.2500 0.7794
Ge2 0.7500 0.7500 0.2206

Summary:
- Raw total energy: -8.403 eV/atom
- ΔE to the lowest computed polymorph: 0.0 meV per atom
- Total magnetic moment: 5.43 μB per formula unit
- Formation enthalpy at 0 K: -553 meV per atom
- Symmetry: P4/nmm

=====

Here is a geometry-optimized SmDy2Cd structure from Alexandria via LeMat-Bulk. Energies are from PBE.

a b c (Å): 11.0231 11.0231 11.0231
angles (deg): 18.74 18.74 18.74
Sites, in units of the cell vectors:
Sm1 0.0000 0.0000 0.0000
Dy1 0.2438 0.2438 0.2438
Dy2 0.7562 0.7562 0.7562
Cd1 0.5000 0.5000 0.5000

Summary:
- Raw total energy: -3.788 eV/atom
- ΔE to the lowest computed polymorph: 71.4 meV per atom
- Total magnetic moment: 0.00 μB per formula unit
- Formation enthalpy at 0 K: -78 meV per atom
- Symmetry: R-3m

=====

Here is a geometry-optimized MgAl2Mo structure from Alexandria via LeMat-Bulk. Energies are from PBE.

a b c (Å): 3.0132 3.7641 5.8135
angles (deg): 90.00 90.00 90.00
Sites, in units of the cell vectors:
Mg1 0.0000 0.0000 0.0000
Al1 0.5000 0.5000 0.2719
Al2 0.5000 0.5000 0.7281
Mo1 0.0000 0.0000 0.5000

Summary:
- Raw total energy: -5.068 eV/atom
- Total magnetic moment: 0.00 μB per formula unit
- Formation enthalpy at 0 K: -91 meV per atom
- Symmetry: Pmmm

=====

Here is a geometry-optimized Li4SbPb structure from Alexandria via LeMat-Bulk. Energies are from PBE.

a b c (Å): 5.5489 5.5489 5.5489
angles (deg): 60.00 60.00 60.00
Sites, in units of the cell vectors:
Li1 0.1252 0.1252 0.1252
Li2 0.1252 0.1252 0.6245
Li3 0.1252 0.6245 0.1252
Li4 0.6245 0.1252 0.1252
Sb1 0.5000 0.5000 0.5000
Pb1 0.7500 0.7500 0.7500

Summary:
- Raw total energy: -2.748 eV/atom
- ΔE to the lowest computed polymorph: 178.6 meV per atom
- Total magnetic moment: 0.00 μB per formula unit
- Symmetry: F-43m
- Formation energy without anion corrections: -0.1673 eV per atom

=====

Here is a geometry-optimized LaNd3Y7 structure from Alexandria via LeMat-Bulk. Energies are from PBE.

a b c (Å): 7.1558 7.1558 8.7854
angles (deg): 90.00 90.00 120.00
Sites, in units of the cell vectors:
La1 0.0000 0.0000 0.0000
Nd1 0.1670 0.3339 0.6623
Nd2 0.1670 0.8330 0.6623
Nd3 0.6661 0.8330 0.6623
Y1 0.0015 0.5008 0.0006
Y2 0.3328 0.1664 0.3289
Y3 0.3333 0.6667 0.3266
Y4 0.4992 0.5008 0.0006
Y5 0.4992 0.9985 0.0006
Y6 0.8336 0.1664 0.3289
Y7 0.8336 0.6672 0.3289

Summary:
- Raw total energy: -5.677 eV/atom
- ΔE to the lowest computed polymorph: 48.0 meV per atom
- Total magnetic moment: 0.00 μB per formula unit
- Formation enthalpy at 0 K: 185 meV per atom
- Symmetry: P3m1

=====

Here is a geometry-optimized HfFe2Tc2 structure from Alexandria via LeMat-Bulk. Energies are from PBE.

a b c (Å): 7.1880 7.1880 2.7363
angles (deg): 90.00 90.00 90.00
Sites, in units of the cell vectors:
Hf1 0.0000 0.0000 0.0000
Hf2 0.5000 0.5000 0.0000
Fe1 0.1221 0.3779 0.0000
Fe2 0.3779 0.8779 0.0000
Fe3 0.6221 0.1221 0.0000
Fe4 0.8779 0.6221 0.0000
Tc1 0.1712 0.6712 0.5000
Tc2 0.3288 0.1712 0.5000
Tc3 0.6712 0.8288 0.5000
Tc4 0.8288 0.3288 0.5000

Summary:
- Raw total energy: -9.496 eV/atom
- ΔE to the lowest computed polymorph: 0.0 meV per atom
- Total magnetic moment: 0.00 μB per formula unit
- Formation enthalpy at 0 K: 26 meV per atom
- Symmetry: P4/mbm

=====

Here is a geometry-optimized RbBaSr2Zn structure from Alexandria via LeMat-Bulk. Energies are from PBE.

a b c (Å): 6.3790 6.3790 6.8716
angles (deg): 90.00 90.00 90.00
Sites, in units of the cell vectors:
Rb1 0.0000 0.0000 0.0000
Ba1 0.5000 0.5000 0.0000
Sr1 0.0000 0.5000 0.5000
Sr2 0.5000 0.0000 0.5000
Zn1 0.0000 0.0000 0.5000

Summary:
- Raw total energy: -1.400 eV/atom
- ΔE to the lowest computed polymorph: 91.5 meV per atom
- Total magnetic moment: 0.00 μB per formula unit
- Formation enthalpy at 0 K: 106 meV per atom
- Symmetry: P4/mmm

=====

Here is a geometry-optimized MgB2Br structure from Alexandria via LeMat-Bulk. Energies are from PBE.

a b c (Å): 6.2069 6.2069 6.2069
angles (deg): 126.50 126.50 79.08
Sites, in units of the cell vectors:
Mg1 0.0000 0.0000 0.0000
Mg2 0.7500 0.2500 0.5000
B1 0.1403 0.6250 0.0153
B2 0.3750 0.3903 0.5153
B3 0.6097 0.1250 0.9847
B4 0.8750 0.8597 0.4847
Br1 0.2500 0.7500 0.5000
Br2 0.5000 0.5000 0.0000

Summary:
- Raw total energy: -2.664 eV/atom
- ΔE to the lowest computed polymorph: 0.0 meV per atom
- Total magnetic moment: 0.00 μB per formula unit
- Symmetry: I-42d
- Formation energy without anion corrections: 1.4913 eV per atom

=====

Here is a geometry-optimized Ce4NdSc structure from Alexandria via LeMat-Bulk. Energies are from PBE.

a b c (Å): 6.2660 6.2660 6.2660
angles (deg): 60.00 60.00 60.00
Sites, in units of the cell vectors:
Ce1 0.3805 0.3805 0.3805
Ce2 0.3805 0.3805 0.8584
Ce3 0.3805 0.8584 0.3805
Ce4 0.8584 0.3805 0.3805
Nd1 0.0000 0.0000 0.0000
Sc1 0.7500 0.7500 0.7500

Summary:
- Raw total energy: -5.569 eV/atom
- Total magnetic moment: 3.67 μB per formula unit
- Formation enthalpy at 0 K: 237 meV per atom
- Symmetry: F-43m

=====

Here is a geometry-optimized CaSiRh4 structure from Alexandria via LeMat-Bulk. Energies are from PBE.

a b c (Å): 5.2120 5.2120 5.2120
angles (deg): 60.00 60.00 60.00
Sites, in units of the cell vectors:
Ca1 0.0000 0.0000 0.0000
Si1 0.2500 0.2500 0.2500
Rh1 0.1274 0.6242 0.6242
Rh2 0.6242 0.1274 0.6242
Rh3 0.6242 0.6242 0.1274
Rh4 0.6242 0.6242 0.6242

Summary:
- Raw total energy: -6.201 eV/atom
- Total magnetic moment: 0.00 μB per formula unit
- Symmetry: F-43m
- Formation energy without anion corrections: -0.0624 eV per atom

=====

Here is a geometry-optimized Rb2LiCeBr6 structure from Alexandria via LeMat-Bulk. Energies are from PBE.

a b c (Å): 7.9741 7.9741 7.9741
angles (deg): 60.00 60.00 60.00
Sites, in units of the cell vectors:
Rb1 0.2500 0.2500 0.2500
Rb2 0.7500 0.7500 0.7500
Li1 0.0000 0.0000 0.0000
Ce1 0.5000 0.5000 0.5000
Br1 0.2433 0.2433 0.7567
Br2 0.2433 0.7567 0.2433
Br3 0.2433 0.7567 0.7567
Br4 0.7567 0.2433 0.2433
Br5 0.7567 0.2433 0.7567
Br6 0.7567 0.7567 0.2433

Summary:
- Raw total energy: -3.718 eV/atom
- Total magnetic moment: 1.00 μB per formula unit
- Symmetry: Fm-3m
- Formation energy without anion corrections: -1.7364 eV per atom

=====

Here is a geometry-optimized PuCdBr2 structure from Alexandria via LeMat-Bulk. Energies are from PBE.

a b c (Å): 11.1549 11.1549 11.1549
angles (deg): 19.55 19.55 19.55
Sites, in units of the cell vectors:
Pu1 0.0000 0.0000 0.0000
Cd1 0.5000 0.5000 0.5000
Br1 0.0824 0.0824 0.0824
Br2 0.9176 0.9176 0.9176

Summary:
- Raw total energy: -5.012 eV/atom
- Total magnetic moment: 5.87 μB per formula unit
- Symmetry: R-3m
- Formation energy without anion corrections: -0.3637 eV per atom

=====

Here is a geometry-optimized Sr8Zn2Rh structure from Alexandria via LeMat-Bulk. Energies are from PBE.

a b c (Å): 8.3893 8.3893 8.1418
angles (deg): 91.83 91.83 57.78
Sites, in units of the cell vectors:
Sr1 0.1957 0.1957 0.6130
Sr2 0.2051 0.7062 0.7409
Sr3 0.2938 0.7949 0.2591
Sr4 0.2956 0.2956 0.1113
Sr5 0.7044 0.7044 0.8887
Sr6 0.7062 0.2051 0.7409
Sr7 0.7949 0.2938 0.2591
Sr8 0.8043 0.8043 0.3870
Zn1 0.0878 0.0878 0.9532
Zn2 0.9122 0.9122 0.0468
Rh1 0.0000 0.0000 0.5000

Summary:
- Raw total energy: -2.228 eV/atom
- ΔE to the lowest computed polymorph: 0.0 meV per atom
- Total magnetic moment: 0.00 μB per formula unit
- Formation enthalpy at 0 K: -105 meV per atom
- Symmetry: C2/m

=====

Here is a geometry-optimized Dy12MgPd6 structure from Alexandria via LeMat-Bulk. Energies are from PBE.

a b c (Å): 8.7200 8.7200 8.7200
angles (deg): 108.90 108.90 108.90
Sites, in units of the cell vectors:
Dy1 0.0558 0.3520 0.1192
Dy2 0.1192 0.0558 0.3520
Dy3 0.1705 0.4670 0.6422
Dy4 0.3520 0.1192 0.0558
Dy5 0.3578 0.8295 0.5330
Dy6 0.4670 0.6422 0.1705
Dy7 0.5330 0.3578 0.8295
Dy8 0.6422 0.1705 0.4670
Dy9 0.6480 0.8808 0.9442
Dy10 0.8295 0.5330 0.3578
Dy11 0.8808 0.9442 0.6480
Dy12 0.9442 0.6480 0.8808
Mg1 0.5000 0.5000 0.5000
Pd1 0.1455 0.7934 0.7168
Pd2 0.2066 0.2832 0.8545
Pd3 0.2832 0.8545 0.2066
Pd4 0.7168 0.1455 0.7934
Pd5 0.7934 0.7168 0.1455
Pd6 0.8545 0.2066 0.2832

Summary:
- Raw total energy: -5.083 eV/atom
- ΔE to the lowest computed polymorph: 97.3 meV per atom
- Total magnetic moment: 0.00 μB per formula unit
- Formation enthalpy at 0 K: -453 meV per atom
- Symmetry: R-3

=====

Here is a geometry-optimized CsCd2Te2 structure from Alexandria via LeMat-Bulk. Energies are from PBE.

a b c (Å): 9.2362 9.2362 4.0393
angles (deg): 90.00 90.00 90.00
Sites, in units of the cell vectors:
Cs1 0.0000 0.0000 0.0000
Cs2 0.5000 0.5000 0.0000
Cd1 0.1257 0.3743 0.5000
Cd2 0.3743 0.8743 0.5000
Cd3 0.6257 0.1257 0.5000
Cd4 0.8743 0.6257 0.5000
Te1 0.1483 0.6483 0.0000
Te2 0.3517 0.1483 0.0000
Te3 0.6483 0.8517 0.0000
Te4 0.8517 0.3517 0.0000

Summary:
- Raw total energy: -2.046 eV/atom
- ΔE to the lowest computed polymorph: 265.8 meV per atom
- Total magnetic moment: 0.00 μB per formula unit
- Symmetry: P4/mbm
- Formation energy without anion corrections: -0.2521 eV per atom

=====

Here is a geometry-optimized Pm4Nd2Y3 structure from Alexandria via LeMat-Bulk. Energies are from PBE.

a b c (Å): 10.1523 10.1523 6.2558
angles (deg): 94.97 94.97 71.39
Sites, in units of the cell vectors:
Pm1 0.0927 0.8121 0.9853
Pm2 0.1451 0.4253 0.1520
Pm3 0.1879 0.9073 0.5147
Pm4 0.4253 0.1451 0.6520
Pm5 0.5747 0.8549 0.3480
Pm6 0.8121 0.0927 0.4853
Pm7 0.8549 0.5747 0.8480
Pm8 0.9073 0.1879 0.0147
Nd1 0.2393 0.5220 0.6811
Nd2 0.4780 0.7607 0.8189
Nd3 0.5220 0.2393 0.1811
Nd4 0.7607 0.4780 0.3189
Y1 0.0663 0.2664 0.5855
Y2 0.2664 0.0663 0.0855
Y3 0.3997 0.6003 0.2500
Y4 0.6003 0.3997 0.7500
Y5 0.7336 0.9337 0.9145
Y6 0.9337 0.7336 0.4145

Summary:
- Raw total energy: -5.243 eV/atom
- ΔE to the lowest computed polymorph: 68.1 meV per atom
- Total magnetic moment: 0.00 μB per formula unit
- Formation enthalpy at 0 K: 82 meV per atom
- Symmetry: C2/c